No. 1
The following is a PBE-GGA calculation of an optimized crystal structure of InFeNiAg, from OQMD.

The structure in extended XYZ format:
```
16
Lattice="6.253 0.000 0.000 0.000 6.253 0.000 0.000 0.000 6.253" Properties=species:S:1:pos:R:3 pbc="T T T"
In 0.000 0.000 0.000
In 0.000 3.126 3.126
In 3.126 0.000 3.126
In 3.126 3.126 0.000
Fe 1.563 1.563 1.563
Fe 1.563 4.690 4.690
Fe 4.690 1.563 4.690
Fe 4.690 4.690 1.563
Ni 1.563 1.563 4.690
Ni 1.563 4.690 1.563
Ni 4.690 1.563 1.563
Ni 4.690 4.690 4.690
Ag 0.000 0.000 3.126
Ag 0.000 3.126 0.000
Ag 3.126 0.000 0.000
Ag 3.126 3.126 3.126
```

Summary:
E_tot (eV per cell): -74.340

No. 2
The following is a PBE-GGA calculation of an optimized crystal structure of InFeAgOs, from OQMD.

The structure in extended XYZ format:
```
16
Lattice="6.365 0.000 0.000 0.000 6.365 0.000 0.000 0.000 6.365" Properties=species:S:1:pos:R:3 pbc="T T T"
In 0.000 0.000 0.000
In 0.000 3.182 3.182
In 3.182 0.000 3.182
In 3.182 3.182 0.000
Fe 1.591 1.591 1.591
Fe 1.591 4.774 4.774
Fe 4.774 1.591 4.774
Fe 4.774 4.774 1.591
Ag 1.591 1.591 4.774
Ag 1.591 4.774 1.591
Ag 4.774 1.591 1.591
Ag 4.774 4.774 4.774
Os 0.000 0.000 3.182
Os 0.000 3.182 0.000
Os 3.182 0.000 0.000
Os 3.182 3.182 3.182
```

Summary:
E_tot (eV per cell): -91.300

Question: Which formula does entry 2 have?
Answer: InFeAgOs